TbNd3Se4 | Alexandria | PBE | optimized geometry; energy relative to the lowest polymorph listed for this composition = 0.00 eV/f.u.; energy relative to the elements, uncorrected = -1.8231 eV/atom; spin magnetization = 0.00 μB per formula unit
1.0
7.3198 0.0000 0.0000
0.0000 8.3192 0.0000
-2.3989 0.0000 6.8721
Tb Nd Se
2 6 8
direct
0.0000 0.1263 0.2500
0.0000 0.8737 0.7500
0.0000 0.3762 0.7500
0.0000 0.6238 0.2500
0.5000 0.1263 0.7500
0.5000 0.3768 0.2500
0.5000 0.6232 0.7500
0.5000 0.8737 0.2500
0.2416 0.1206 0.0003
0.2416 0.8794 0.5003
0.2456 0.3703 0.4955
0.2456 0.6297 0.9955
0.7544 0.3703 0.0045
0.7544 0.6297 0.5045
0.7584 0.1206 0.4997
0.7584 0.8794 0.9997